Record 1
Computed, not measured: an optimized crystal structure of TlAgIr2 at the PBE level of DFT.

Cell lengths 4.812, 2.890, 4.980 Å; angles 89.32, 90.00, 90.00 degrees
Sites, in units of the cell vectors:
1 Ir 0.000 0.008 0.986
2 Ir 0.000 0.492 0.514
3 Tl 0.500 0.250 0.250
4 Ag 0.500 0.750 0.750

Computed properties:
space-group type = P2/m, No. 10
total moment = 0.00 μB/atom
polymorph energy (0 for the lowest one) = 0.1427 eV/atom

---

Record 2
Computed, not measured: an optimized crystal structure of TlAgIr2 at the PBE level of DFT.

Cell lengths 3.998, 3.998, 10.190 Å; angles 78.69, 78.69, 90.00 degrees
Site moments in Bohr magnetons follow the coordinates.
Sites, in units of the cell vectors:
1 Ir 0.188 0.625 0.250  0.39
2 Ag 0.250 0.750 0.500  0.01
3 Tl 0.000 0.000 0.000  0.00
4 Ir 0.375 0.438 0.750  0.38
5 Tl 0.750 0.250 0.500  0.00
6 Ir 0.562 0.125 0.250  0.39
7 Ag 0.500 0.500 0.000  0.01
8 Ir 0.875 0.812 0.750  0.38

Computed properties:
space-group type = I-42d, No. 122
total moment = 0.20 μB/atom
polymorph energy (0 for the lowest one) = 0.3728 eV/atom

---

Record 3
Computed, not measured: an optimized crystal structure of TlAgIr2 at the PBE level of DFT.

Cell lengths 2.970, 2.970, 7.793 Å; angles 90.00, 90.00, 90.00 degrees
Sites, in units of the cell vectors:
1 Tl 0.500 0.500 0.250
2 Ir 0.000 0.000 0.506
3 Ag 0.500 0.500 0.750
4 Ir 0.000 0.000 0.994

Computed properties:
space-group type = P4/mmm, No. 123
total moment = 0.00 μB/atom
polymorph energy (0 for the lowest one) = 0.2800 eV/atom

---

Record 4
Computed, not measured: an optimized crystal structure of TlAgIr at the PBE level of DFT.

Cell lengths 4.592, 4.592, 3.051 Å; angles 90.00, 90.00, 120.00 degrees
Sites, in units of the cell vectors:
1 Tl 0.333 0.667 0.656
2 Ir 0.667 0.333 0.366
3 Ag 0.000 0.000 0.978

Computed properties:
space-group type = P3m1, No. 156
total moment = 0.00 μB/atom
polymorph energy (0 for the lowest one) = 0.0062 eV/atom

---

Record 5
Computed, not measured: an optimized crystal structure of TlAg2Ir at the PBE level of DFT.

Cell lengths 2.933, 2.933, 8.969 Å; angles 90.00, 90.00, 90.00 degrees
Site moments in Bohr magnetons follow the coordinates.
Sites, in units of the cell vectors:
1 Ag 0.000 0.000 0.033  0.01
2 Ir 0.500 0.500 0.250  0.40
3 Ag 0.000 0.000 0.467  0.01
4 Tl 0.500 0.500 0.750  0.00

Computed properties:
space-group type = P4/mmm, No. 123
total moment = 0.10 μB/atom
polymorph energy (0 for the lowest one) = 0.1450 eV/atom

---

Record 6
Computed, not measured: an optimized crystal structure of TlAgIr2 at the PBE level of DFT.

Cell lengths 4.507, 4.507, 6.382 Å; angles 81.39, 81.39, 36.92 degrees
Sites, in units of the cell vectors:
1 Tl 0.496 0.496 0.512
2 Ag 0.254 0.254 0.218
3 Ir 0.003 0.003 0.954
4 Ir 0.747 0.747 0.816

Computed properties:
space-group type = Cm, No. 8
total moment = 0.00 μB/atom
polymorph energy (0 for the lowest one) = 0.0809 eV/atom

---

Record 7
Computed, not measured: an optimized crystal structure of TlAgIr2 at the PBE level of DFT.

Cell lengths 4.951, 4.951, 5.021 Å; angles 79.91, 79.91, 34.37 degrees
Sites, in units of the cell vectors:
1 Ir 0.498 0.498 0.487
2 Ag 0.250 0.250 0.250
3 Tl 0.750 0.750 0.750
4 Ir 0.002 0.002 0.013

Computed properties:
space-group type = C2/m, No. 12
total moment = 0.00 μB/atom
polymorph energy (0 for the lowest one) = 0.0946 eV/atom

---

Record 8
Computed, not measured: an optimized crystal structure of TlAg2Ir at the PBE level of DFT.

Cell lengths 4.998, 4.998, 5.153 Å; angles 78.98, 78.98, 35.92 degrees
Sites, in units of the cell vectors:
1 Ag 0.756 0.756 0.763
2 Ag 0.005 0.005 0.973
3 Tl 0.242 0.242 0.280
4 Ir 0.496 0.496 0.484

Computed properties:
space-group type = Cm, No. 8
total moment = 0.00 μB/atom
polymorph energy (0 for the lowest one) = 0.0818 eV/atom

---

Record 9
Computed, not measured: an optimized crystal structure of TlAgIr3 at the PBE level of DFT.

Cell lengths 4.851, 4.851, 4.851 Å; angles 90.00, 90.00, 90.00 degrees
Site moments in Bohr magnetons follow the coordinates.
Sites, in units of the cell vectors:
1 Ir 0.000 0.000 0.500  0.77
2 Ir 0.000 0.500 0.000  0.51
3 Tl 0.500 0.500 0.500  -0.02
4 Ir 0.500 0.000 0.000  0.38
5 Ag 0.000 0.000 0.000  0.02

Computed properties:
space-group type = Pm-3m, No. 221
total moment = 0.33 μB/atom
polymorph energy (0 for the lowest one) = 0.0000 eV/atom

---

Record 10
Computed, not measured: an optimized crystal structure of TlAg3Ir at the PBE level of DFT.

Cell lengths 5.134, 5.134, 5.134 Å; angles 90.00, 90.00, 90.00 degrees
Site moments in Bohr magnetons follow the coordinates.
Sites, in units of the cell vectors:
1 Ag 0.000 0.000 0.500  0.07
2 Ag 0.500 0.000 0.000  0.02
3 Ir 0.000 0.000 0.000  0.60
4 Ag 0.000 0.500 0.000  0.05
5 Tl 0.500 0.500 0.500  -0.01

Computed properties:
space-group type = Pm-3m, No. 221
total moment = 0.15 μB/atom
polymorph energy (0 for the lowest one) = 0.0000 eV/atom

---

Record 11
Computed, not measured: an optimized crystal structure of TlAg2Ir at the PBE level of DFT.

Cell lengths 4.033, 4.033, 4.445 Å; angles 90.00, 90.00, 90.00 degrees
Sites, in units of the cell vectors:
1 Ir 0.500 0.000 0.500
2 Tl 0.000 0.500 0.500
3 Ag 0.000 0.000 0.000
4 Ag 0.500 0.500 0.000

Computed properties:
space-group type = P4/mmm, No. 123
total moment = 0.00 μB/atom
polymorph energy (0 for the lowest one) = 0.0000 eV/atom

---

Record 12
Computed, not measured: an optimized crystal structure of TlAg2Ir at the PBE level of DFT.

Cell lengths 10.033, 10.033, 10.033 Å; angles 17.14, 17.14, 17.14 degrees
Site moments in Bohr magnetons follow the coordinates.
Sites, in units of the cell vectors:
1 Ag 0.507 0.507 0.507  0.01
2 Tl 0.750 0.750 0.750  0.00
3 Ir 0.250 0.250 0.250  0.62
4 Ag 0.993 0.993 0.993  0.01

Computed properties:
space-group type = R-3m, No. 166
total moment = 0.16 μB/atom
polymorph energy (0 for the lowest one) = 0.1803 eV/atom

---

What is the polymorph energy (0 for the lowest one) in the fifth record?
0.1450 eV/atom